[1]
Below is Sr2MgAs3Pd4 after structural relaxation, with properties calculated at the PBE-GGA level.

a b c (Å): 4.368 4.368 10.754
angles (deg): 90.00 90.00 90.00
Fractional positions:
Sr 0.500 0.000 0.239
Sr 0.000 0.500 0.761
Mg 0.500 0.500 0.500
As 0.000 0.000 0.500
As 0.500 0.000 0.871
As 0.000 0.500 0.129
Pd 0.500 0.500 0.000
Pd 0.000 0.000 0.000
Pd 0.500 0.000 0.637
Pd 0.000 0.500 0.363

## Properties
spin magnetization: 0.00 μB/atom
electronic total energy: -47.6 eV for the cell shown
mass density: 6.9 Mg/m³
formation energy from the elements: -787 meV/atom

---

[2]
Below is TbTmNi2 after structural relaxation, with properties calculated at the PBE-GGA level.

a b c (Å): 3.729 4.175 5.394
angles (deg): 90.00 110.28 90.00
Fractional positions:
Tb 0.442 0.500 0.423
Tm 0.721 0.000 0.981
Ni 0.156 0.500 0.851
Ni 0.012 0.000 0.562

## Properties
spin magnetization: 0.00 μB/atom
electronic total energy: -22.5 eV for the cell shown
mass density: 9.4 Mg/m³
formation energy from the elements: -471 meV/atom

---

[3]
Below is PmErMg after structural relaxation, with properties calculated at the PBE-GGA level.

a b c (Å): 6.484 6.484 5.346
angles (deg): 90.00 90.00 63.88
Fractional positions:
Pm 0.750 0.250 0.500
Pm 0.250 0.750 0.500
Er 0.500 0.000 0.000
Er 0.000 0.500 0.000
Mg 0.750 0.750 0.500
Mg 0.250 0.250 0.500

## Properties
polymorph energy (0 for the lowest one): 380.6 meV per atom
spin magnetization: 0.00 μB/atom
electronic total energy: -19.8 eV for the cell shown
mass density: 5.5 Mg/m³
formation energy from the elements: 339 meV/atom